Record 1
Y3GaGe: relaxed, GGA-PBE.

Relative energy among the computed polymorphs in meV per atom: 0
ΔE_f in kJ/mol of atoms: -55.5
Calculated volume in Å³ per atom: 25.780
Space-group type: C2/m, No. 12

a = 4.036 Å, b = 8.006 Å, c = 8.256 Å
α = 92.66°, β = 90.02°, γ = 104.63°
Site moments in Bohr magnetons follow the coordinates.
Positions (direct):
1 Y 0.619 0.272 0.786  0.16
2 Y 0.071 0.176 0.397  0.17
3 Ga 0.229 0.492 0.640  0.01
4 Ge 0.414 0.861 0.275  -0.01
5 Ga 0.814 0.662 0.782  0.01
6 Y 0.260 0.552 0.032  0.06
7 Ge 0.630 0.293 0.146  -0.01
8 Y 0.973 0.978 0.025  0.17
9 Y 0.425 0.882 0.636  0.16
10 Y 0.784 0.602 0.390  0.06

***

Record 2
Y3GaGe3: relaxed, GGA-PBE.

ΔE_f in kJ/mol of atoms: -58.4
Calculated volume in Å³ per atom: 26.456
Space-group type: P6_3/m, No. 176

a = 5.895 Å, b = 8.517 Å, c = 8.517 Å
α = 120.00°, β = 90.00°, γ = 90.00°
Positions (direct):
1 Y 0.250 0.057 0.692
2 Ge 0.750 0.055 0.695
3 Ge 0.250 0.695 0.640
4 Y 0.250 0.635 0.943
5 Ge 0.250 0.945 0.305
6 Ga 0.250 0.667 0.333
7 Y 0.750 0.692 0.635
8 Ge 0.750 0.305 0.360
9 Y 0.250 0.308 0.365
10 Ga 0.750 0.333 0.667
11 Y 0.750 0.943 0.308
12 Ge 0.750 0.640 0.945
13 Ge 0.250 0.360 0.055
14 Y 0.750 0.365 0.057

***

Record 3
Y4Ga2Ge: relaxed, GGA-PBE.

ΔE_f in kJ/mol of atoms: -32.5
Calculated volume in Å³ per atom: 29.359
Space-group type: I4/mmm, No. 139

a = 5.388 Å, b = 5.388 Å, c = 8.040 Å
α = 70.42°, β = 70.42°, γ = 90.00°
Positions (direct):
1 Y 0.195 0.195 0.609
2 Y 0.805 0.805 0.391
3 Y 0.500 0.000 0.000
4 Ge 0.000 0.000 0.000
5 Ga 0.605 0.605 0.790
6 Ga 0.395 0.395 0.210
7 Y 0.000 0.500 0.000

***

Record 4
Y2Ga2Ge: relaxed, GGA-PBE.

Relative energy among the computed polymorphs in meV per atom: 0
ΔE_f in kJ/mol of atoms: -65.0
Calculated volume in Å³ per atom: 22.212
Space-group type: C2/m, No. 12

a = 4.150 Å, b = 5.869 Å, c = 9.980 Å
α = 83.16°, β = 78.00°, γ = 69.30°
Positions (direct):
1 Ga 0.633 0.843 0.891
2 Ge 0.578 0.158 0.686
3 Ga 0.983 0.634 0.400
4 Y 0.902 0.294 0.901
5 Y 0.706 0.235 0.353
6 Ga 0.367 0.157 0.109
7 Y 0.098 0.706 0.099
8 Ge 0.422 0.842 0.314
9 Y 0.294 0.765 0.647
10 Ga 0.017 0.366 0.600

***

Record 5
YGa3Ge: relaxed, GGA-PBE.

Relative energy among the computed polymorphs in meV per atom: 0
ΔE_f in kJ/mol of atoms: -25.2
Calculated volume in Å³ per atom: 20.501
Space-group type: Pmma, No. 51

a = 3.144 Å, b = 5.336 Å, c = 12.219 Å
α = 90.00°, β = 90.00°, γ = 90.00°
Positions (direct):
1 Ga 0.500 0.497 0.606
2 Ge 0.500 0.250 0.200
3 Ga 0.500 0.503 0.394
4 Y 0.000 0.750 0.195
5 Ge 0.500 0.750 0.800
6 Ga 0.500 0.997 0.394
7 Ga 0.500 0.000 0.000
8 Y 0.000 0.250 0.805
9 Ga 0.500 0.500 0.000
10 Ga 0.500 0.003 0.606

***

Record 6
Y2Ga3Ge: relaxed, GGA-PBE.

ΔE_f in kJ/mol of atoms: -63.5
Calculated volume in Å³ per atom: 20.892
Space-group type: Pmm2, No. 25

a = 4.094 Å, b = 4.208 Å, c = 7.277 Å
α = 90.00°, β = 90.00°, γ = 90.00°
Positions (direct):
1 Y 0.000 0.000 0.497
2 Y 0.000 0.500 0.003
3 Ga 0.500 0.000 0.162
4 Ge 0.500 0.500 0.336
5 Ga 0.500 0.500 0.671
6 Ga 0.500 0.000 0.830

***

Record 7
YGa3Ge: relaxed, GGA-PBE.

Relative energy among the computed polymorphs in meV per atom: 1064
ΔE_f in kJ/mol of atoms: 77.5
Calculated volume in Å³ per atom: 31.871
Space-group type: Pm-3m, No. 221

a = 5.422 Å, b = 5.422 Å, c = 5.422 Å
α = 90.00°, β = 90.00°, γ = 90.00°
Positions (direct):
1 Ga 0.500 0.000 0.000
2 Ga 0.000 0.000 0.500
3 Y 0.000 0.000 0.000
4 Ge 0.500 0.500 0.500
5 Ga 0.000 0.500 0.000

***

Record 8
Y2Ga2Ge: relaxed, GGA-PBE.

Relative energy among the computed polymorphs in meV per atom: 333
ΔE_f in kJ/mol of atoms: -32.9
Calculated volume in Å³ per atom: 24.841
Space-group type: P4/mbm, No. 127

a = 7.802 Å, b = 7.802 Å, c = 4.081 Å
α = 90.00°, β = 90.00°, γ = 90.00°
Positions (direct):
1 Ga 0.879 0.379 0.500
2 Ge 0.500 0.500 0.000
3 Y 0.821 0.679 0.000
4 Ga 0.621 0.879 0.500
5 Ge 0.000 0.000 0.000
6 Y 0.679 0.179 0.000
7 Y 0.321 0.821 0.000
8 Ga 0.379 0.121 0.500
9 Ga 0.121 0.621 0.500
10 Y 0.179 0.321 0.000

***

We obtain Fermi-level density of states values of 0.82, 0.15, 0.07, 0.52, 0.49, 0.28, 0.57, 0.83 states/eV/atom for the records listed above, in that order.